Entry 1:
Here is a geometry-optimized Na3BrCl2 structure from the Alexandria database. Energies are from PBEsol.

```
data_Na3BrCl2
_chemical_formula_sum 'Na3 Br1 Cl2'
_cell_length_a 4.0355
_cell_length_b 4.0355
_cell_length_c 9.8978
_cell_angle_alpha 90.00
_cell_angle_beta 90.00
_cell_angle_gamma 120.00
_symmetry_space_group_name_H-M 'P -3 m 1'
_symmetry_Int_Tables_number 164
_symmetry_space_group_name_Hall '-P 3 2"'
loop_
_atom_site_label
_atom_site_type_symbol
_atom_site_fract_x
_atom_site_fract_y
_atom_site_fract_z
Na1 Na 0.0000 0.0000 0.0000
Na2 Na 0.3333 0.6667 0.6785
Br1 Br 0.0000 0.0000 0.5000
Cl1 Cl 0.3333 0.6667 0.1608
```

## Properties
For the total magnetization, the calculation gives 0.00 μB per formula unit. The calculated volume comes out at 139.6 Å³ per cell. The calculation puts the energy relative to the lowest polymorph listed for this composition at 0.0000 eV per atom. Its density of states at the Fermi level is 0.00 states/eV/f.u.

Entry 2:
Here is a geometry-optimized BaCrP2S structure from the Alexandria database. Energies are from PBEsol.

```
data_BaCrP2S
_chemical_formula_sum 'Ba1 Cr1 P2 S1'
_cell_length_a 5.450
_cell_length_b 5.450
_cell_length_c 6.064
_cell_angle_alpha 90.00
_cell_angle_beta 90.00
_cell_angle_gamma 90.00
_symmetry_space_group_name_H-M 'P 4/m m m'
_symmetry_Int_Tables_number 123
_symmetry_space_group_name_Hall '-P 4 2'
loop_
_atom_site_label
_atom_site_type_symbol
_atom_site_fract_x
_atom_site_fract_y
_atom_site_fract_z
Ba1 Ba 0.000 0.000 0.000
Cr1 Cr 0.000 0.000 0.500
P1 P 0.000 0.500 0.000
S1 S 0.500 0.500 0.500
```

## Properties
For the total magnetization, the calculation gives 2.71 μB per formula unit. The calculated volume comes out at 180.1 Å³ per cell. For the calculated total energy, the calculation gives -3.64 eV per atom. Its density of states at the Fermi level is 4.07 states/eV/f.u.

Entry 3:
Here is a geometry-optimized CsTiBr3 structure from the Alexandria database. Energies are from PBEsol.

```
data_CsTiBr3
_chemical_formula_sum 'Cs1 Ti1 Br3'
_cell_length_a 5.286
_cell_length_b 5.286
_cell_length_c 5.286
_cell_angle_alpha 90.00
_cell_angle_beta 90.00
_cell_angle_gamma 90.00
_symmetry_space_group_name_H-M 'P m -3 m'
_symmetry_Int_Tables_number 221
_symmetry_space_group_name_Hall '-P 4 2 3'
loop_
_atom_site_label
_atom_site_type_symbol
_atom_site_fract_x
_atom_site_fract_y
_atom_site_fract_z
Cs1 Cs 0.000 0.000 0.000
Ti1 Ti 0.500 0.500 0.500
Br1 Br 0.000 0.500 0.500
```

## Properties
For the total magnetization, the calculation gives 2.00 μB per formula unit. The calculated volume comes out at 147.7 Å³ per cell. The calculation puts the energy relative to the lowest polymorph listed for this composition at 0.0991 eV per atom. Its density of states at the Fermi level is 4.47 states/eV/f.u.

Entry 4:
Here is a geometry-optimized Hf3ZrRe structure from the Alexandria database. Energies are from PBEsol.

```
data_Hf3ZrRe
_chemical_formula_sum 'Hf3 Zr1 Re1'
_cell_length_a 4.830
_cell_length_b 4.830
_cell_length_c 4.830
_cell_angle_alpha 90.00
_cell_angle_beta 90.00
_cell_angle_gamma 90.00
_symmetry_space_group_name_H-M 'P m -3 m'
_symmetry_Int_Tables_number 221
_symmetry_space_group_name_Hall '-P 4 2 3'
loop_
_atom_site_label
_atom_site_type_symbol
_atom_site_fract_x
_atom_site_fract_y
_atom_site_fract_z
Hf1 Hf 0.000 0.000 0.500
Zr1 Zr 0.000 0.000 0.000
Re1 Re 0.500 0.500 0.500
```

## Properties
For the total magnetization, the calculation gives 0.00 μB per formula unit. Its energy relative to the elements is 1.829 eV/atom. The calculated volume comes out at 112.7 Å³ per cell. Its density of states at the Fermi level is 4.96 states/eV/f.u.

Entry 5:
Here is a geometry-optimized CoP3O9 structure from the Alexandria database. Energies are from PBEsol.

```
data_CoP3O9
_chemical_formula_sum 'Co4 P12 O36'
_cell_length_a 4.865
_cell_length_b 11.574
_cell_length_c 12.699
_cell_angle_alpha 90.00
_cell_angle_beta 90.00
_cell_angle_gamma 90.00
_symmetry_space_group_name_H-M 'P b c m'
_symmetry_Int_Tables_number 57
loop_
_symmetry_equiv_pos_as_xyz
'x,y,z'
'-x,-y,-z'
'-x,-y,z+1/2'
'x,y,-z+1/2'
'x,-y+1/2,-z'
'-x,y+1/2,z'
'-x,y+1/2,-z+1/2'
'x,-y+1/2,z+1/2'
loop_
_atom_site_label
_atom_site_type_symbol
_atom_site_fract_x
_atom_site_fract_y
_atom_site_fract_z
Co1 Co 0.000 0.000 0.000
P1 P 0.232 0.250 0.000
P2 P 0.490 0.578 0.129
O1 O 0.075 0.151 0.546
O2 O 0.185 0.557 0.120
O3 O 0.321 0.512 0.583
O4 O 0.438 0.205 0.089
O5 O 0.441 0.095 0.250
```

## Properties
For the total magnetization, the calculation gives 0.08 μB per formula unit. The calculated volume comes out at 715.0 Å³ per cell. For the calculated total energy, the calculation gives -7.44 eV per atom.

Entry 6:
Here is a geometry-optimized BaAl3O structure from the Alexandria database. Energies are from PBEsol.

```
data_BaAl3O
_chemical_formula_sum 'Ba1 Al3 O1'
_cell_length_a 6.078
_cell_length_b 6.078
_cell_length_c 6.078
_cell_angle_alpha 90.00
_cell_angle_beta 90.00
_cell_angle_gamma 90.00
_symmetry_space_group_name_H-M 'P m -3 m'
_symmetry_Int_Tables_number 221
_symmetry_space_group_name_Hall '-P 4 2 3'
loop_
_atom_site_label
_atom_site_type_symbol
_atom_site_fract_x
_atom_site_fract_y
_atom_site_fract_z
Ba1 Ba 0.000 0.000 0.000
Al1 Al 0.000 0.000 0.500
O1 O 0.500 0.500 0.500
```

## Properties
For the total magnetization, the calculation gives 0.88 μB per formula unit. The calculated volume comes out at 224.5 Å³ per cell. For the calculated total energy, the calculation gives -2.02 eV per atom. Its density of states at the Fermi level is 7.04 states/eV/f.u.